! GGA-PBE Cs3Ho3ErSe8, optimized geometry; values from VASP
! - DOS at the Fermi energy: 9.67 states/eV/cell
&SYSTEM
  ibrav = 0, nat = 15, ntyp = 4
/
ATOMIC_SPECIES
Cs 132.91 Cs.upf
Ho 164.93 Ho.upf
Er 167.26 Er.upf
Se 78.96 Se.upf
CELL_PARAMETERS angstrom
4.1638 2.4040 8.5666
-4.1638 2.4040 8.5666
0.0000 -4.8079 8.5666
ATOMIC_POSITIONS angstrom
Cs -2.0819 -1.2020 8.5666
Cs -2.0819 1.2020 17.1331
Cs 0.0000 2.4039 8.5665
Ho -4.1638 0.0000 12.8498
Ho -2.0819 1.2020 4.2833
Ho 2.0819 1.2020 4.2833
Er 0.0000 0.0000 12.8498
Se 0.0000 0.0000 5.8651
Se -2.0822 -1.2022 14.4186
Se 0.0000 -2.4043 11.2811
Se -2.0822 1.2022 11.2811
Se 2.0822 -1.2022 14.4186
Se 0.0000 2.4043 14.4186
Se 2.0822 1.2022 11.2811
Se 0.0000 0.0000 19.8346

***

! GGA-PBE Cs4HoEr3Se8, optimized geometry; values from VASP
! - DOS at the Fermi energy: 0.00 states/eV/cell
&SYSTEM
  ibrav = 0, nat = 16, ntyp = 4
/
ATOMIC_SPECIES
Cs 132.91 Cs.upf
Ho 164.93 Ho.upf
Er 167.26 Er.upf
Se 78.96 Se.upf
CELL_PARAMETERS angstrom
4.2389 2.4473 8.3650
-4.2389 2.4473 8.3650
0.0000 -4.8946 8.3650
ATOMIC_POSITIONS angstrom
Cs 0.0000 0.0000 0.0000
Cs -2.1194 -1.2237 8.3650
Cs -2.1194 1.2237 16.7299
Cs 0.0000 2.4473 8.3649
Ho 0.0000 0.0000 12.5474
Er -4.2389 0.0000 12.5474
Er -2.1194 1.2237 4.1825
Er 2.1194 1.2237 4.1825
Se -2.1247 -1.2267 14.0891
Se 0.0000 0.0000 5.7214
Se 0.0000 -2.4533 11.0057
Se -2.1247 1.2267 11.0057
Se 2.1247 -1.2267 14.0891
Se 0.0000 2.4533 14.0891
Se 0.0000 0.0000 19.3735
Se 2.1247 1.2267 11.0057

***

Entry from the Alexandria database: a relaxed structure of Cs4Ho3ErTe8 (GGA-PBE). Values from VASP.

```
&SYSTEM
  ibrav = 0, nat = 16, ntyp = 4
/
ATOMIC_SPECIES
Cs 132.91 Cs.upf
Ho 164.93 Ho.upf
Er 167.26 Er.upf
Te 127.60 Te.upf
CELL_PARAMETERS angstrom
4.5357 2.6187 8.9140
-4.5357 2.6187 8.9140
0.0000 -5.2374 8.9140
ATOMIC_POSITIONS angstrom
Cs 0.0000 0.0000 0.0000
Cs -2.2679 -1.3094 8.9140
Cs -2.2679 1.3094 17.8280
Cs 0.0000 2.6187 8.9140
Ho -4.5357 0.0000 13.3710
Ho -2.2679 1.3094 4.4570
Ho 2.2679 1.3094 4.4570
Er 0.0000 0.0000 13.3710
Te 0.0000 0.0000 6.1415
Te -2.2620 -1.3060 15.0522
Te 0.0000 -2.6119 11.6898
Te -2.2620 1.3060 11.6898
Te 2.2620 -1.3060 15.0522
Te 0.0000 2.6119 15.0522
Te 2.2620 1.3060 11.6898
Te 0.0000 0.0000 20.6005
```

***

! GGA-PBE Cs3Ho3ErTe8, optimized geometry; values from VASP
! - DOS at the Fermi energy: 7.06 states/eV/cell
&SYSTEM
  ibrav = 0, nat = 15, ntyp = 4
/
ATOMIC_SPECIES
Cs 132.91 Cs.upf
Ho 164.93 Ho.upf
Er 167.26 Er.upf
Te 127.60 Te.upf
CELL_PARAMETERS angstrom
4.4057 2.5436 9.2234
-4.4057 2.5436 9.2234
0.0000 -5.0873 9.2234
ATOMIC_POSITIONS angstrom
Cs -2.2029 -1.2718 9.2234
Cs -2.2029 1.2718 18.4469
Cs 0.0000 2.5436 9.2234
Ho -4.4057 0.0000 13.8351
Ho -2.2029 1.2718 4.6117
Ho 2.2029 1.2718 4.6117
Er 0.0000 0.0000 13.8351
Te -2.2112 -1.2766 15.5814
Te 0.0000 0.0000 6.3639
Te 0.0000 -2.5533 12.0889
Te -2.2112 1.2766 12.0889
Te 2.2112 -1.2766 15.5814
Te 0.0000 2.5533 15.5814
Te 0.0000 0.0000 21.3064
Te 2.2112 1.2766 12.0889

***

Entry from the Alexandria database: a relaxed structure of Cs3HoEr2Te6 (GGA-PBE). Values from VASP.

```
&SYSTEM
  ibrav = 0, nat = 12, ntyp = 4
/
ATOMIC_SPECIES
Cs 132.91 Cs.upf
Ho 164.93 Ho.upf
Er 167.26 Er.upf
Te 127.60 Te.upf
CELL_PARAMETERS angstrom
3.9229 -6.7945 0.0000
3.9229 6.7945 0.0000
-2.6155 0.0000 8.9122
ATOMIC_POSITIONS angstrom
Cs 0.0000 0.0000 0.0000
Cs 3.9229 2.2621 0.0000
Cs 3.9229 -2.2621 0.0000
Ho 2.6152 0.0000 4.4561
Er 2.6152 4.5295 4.4561
Er 2.6152 -4.5295 4.4561
Te 1.3040 2.2709 2.7775
Te -0.0071 0.0000 6.1342
Te 1.3040 -2.2709 2.7775
Te 3.9263 2.2709 6.1347
Te 5.2375 0.0000 2.7780
Te 3.9263 -2.2709 6.1347
```

***

Entry from the Alexandria database: a relaxed structure of Cs3Ho2ErTe6 (GGA-PBE). Values from VASP.

```
&SYSTEM
  ibrav = 0, nat = 12, ntyp = 4
/
ATOMIC_SPECIES
Cs 132.91 Cs.upf
Ho 164.93 Ho.upf
Er 167.26 Er.upf
Te 127.60 Te.upf
CELL_PARAMETERS angstrom
3.9268 -6.8013 0.0000
3.9268 6.8013 0.0000
-2.6179 0.0000 8.9135
ATOMIC_POSITIONS angstrom
Cs 0.0000 0.0000 0.0000
Cs 3.9268 2.2719 0.0000
Cs 3.9268 -2.2719 0.0000
Ho 2.6179 4.5350 4.4568
Ho 2.6179 -4.5350 4.4568
Er 2.6179 0.0000 4.4568
Te 1.3124 2.2612 2.7758
Te 0.0070 0.0000 6.1395
Te 1.3124 -2.2612 2.7758
Te 3.9234 2.2612 6.1377
Te 5.2288 0.0000 2.7740
Te 3.9234 -2.2612 6.1377
```

***

! GGA-PBE Cs3ErI8, optimized geometry; values from VASP
! - DOS at the Fermi energy: 17.13 states/eV/cell
&SYSTEM
  ibrav = 0, nat = 12, ntyp = 3
/
ATOMIC_SPECIES
Cs 132.91 Cs.upf
Er 167.26 Er.upf
I 126.90 I.upf
CELL_PARAMETERS angstrom
-4.3239 4.3239 8.7511
4.3239 -4.3239 8.7511
4.3239 4.3239 -8.7511
ATOMIC_POSITIONS angstrom
Cs 0.0000 0.0000 0.0000
Cs 4.3239 0.0000 4.3756
Cs 0.0000 4.3239 4.3756
Er 0.0000 0.0000 8.7511
I 2.4719 2.4719 -1.8730
I 1.8520 -1.8520 6.8781
I 2.4719 2.4719 1.8730
I 1.8520 -1.8520 10.6242
I -1.8520 1.8520 6.8781
I 1.8520 1.8520 6.8781
I -1.8520 1.8520 10.6242
I 1.8520 1.8520 10.6242

***

! GGA-PBE Cs3Er2I9, optimized geometry; values from VASP
! - DOS at the Fermi energy: 0.00 states/eV/cell
! - Energy above the most stable polymorph in this dataset: 0.006 eV/atom
&SYSTEM
  ibrav = 0, nat = 28, ntyp = 3
/
ATOMIC_SPECIES
Cs 132.91 Cs.upf
Er 167.26 Er.upf
I 126.90 I.upf
CELL_PARAMETERS angstrom
7.4050 4.2753 7.2536
-7.4050 4.2753 7.2536
0.0000 -8.5506 7.2536
ATOMIC_POSITIONS angstrom
Cs -4.9004 0.0628 9.0669
Cs -2.5046 -4.2125 12.6937
Cs 2.3959 -4.2753 9.0669
Cs -2.3959 4.2753 12.6937
Cs 2.5046 4.2125 9.0670
Cs 4.9004 -0.0628 12.6937
Er 0.0000 0.0000 3.3954
Er 0.0000 0.0000 7.4850
Er 0.0000 0.0000 14.2757
Er 0.0000 0.0000 18.3653
I -6.1838 -2.0240 12.5352
I -1.3391 -6.3673 9.2255
I -2.3502 0.0000 5.4402
I -1.3391 -2.1833 8.9084
I 1.1751 -2.0354 5.4402
I -4.8447 4.3433 9.2255
I 1.1751 2.0354 5.4402
I -1.2212 2.2513 8.9084
I -2.5603 0.0681 12.8523
I 2.5603 -0.0681 8.9084
I 1.2212 -2.2513 12.8523
I -1.1751 -2.0353 16.3205
I 4.8447 -4.3434 12.5352
I -1.1751 2.0354 16.3205
I 1.3391 2.1833 12.8523
I 2.3502 0.0000 16.3205
I 1.3391 6.3673 12.5352
I 6.1838 2.0240 9.2255

***

! GGA-PBE CsEr2I7, optimized geometry; values from VASP
! - DOS at the Fermi energy: 0.00 states/eV/cell
&SYSTEM
  ibrav = 0, nat = 10, ntyp = 3
/
ATOMIC_SPECIES
Cs 132.91 Cs.upf
Er 167.26 Er.upf
I 126.90 I.upf
CELL_PARAMETERS angstrom
4.8554 -7.8884 0.0000
4.8554 7.8884 0.0000
0.0000 0.0000 6.0148
ATOMIC_POSITIONS angstrom
Cs 0.0000 0.0000 0.0000
Er 4.8554 3.1233 3.0074
Er 4.8554 -3.1233 3.0074
I 1.8297 2.2215 3.0074
I 4.8554 3.1697 0.0000
I 1.8297 -2.2215 3.0074
I 4.8554 0.0000 3.0074
I 7.8811 2.2215 3.0074
I 4.8554 -3.1697 0.0000
I 7.8811 -2.2215 3.0074

***

! GGA-PBE Cs3Er2I9, optimized geometry; values from VASP
! - DOS at the Fermi energy: 0.00 states/eV/cell
! - Energy above the most stable polymorph in this dataset: 0.000 eV/atom
&SYSTEM
  ibrav = 0, nat = 28, ntyp = 3
/
ATOMIC_SPECIES
Cs 132.91 Cs.upf
Er 167.26 Er.upf
I 126.90 I.upf
CELL_PARAMETERS angstrom
8.5924 0.0000 0.0000
-4.2962 7.4413 0.0000
0.0000 0.0000 21.8963
ATOMIC_POSITIONS angstrom
Cs 0.0000 0.0000 5.4741
Cs 0.0000 0.0000 16.4223
Cs 0.0000 4.9608 1.3704
Cs 0.0000 4.9608 9.5778
Cs 4.2962 2.4804 12.3185
Cs 4.2962 2.4804 20.5260
Er 0.0000 4.9608 14.3934
Er 0.0000 4.9608 18.4511
Er 4.2962 2.4804 3.4452
Er 4.2962 2.4804 7.5029
I -2.0565 3.7736 16.4223
I 0.0000 2.4698 12.8591
I 0.0000 2.4698 19.9854
I -2.1573 6.2064 12.8591
I -2.1573 6.2064 19.9854
I 2.1389 1.2349 1.9109
I 2.1389 1.2349 9.0373
I 2.0564 3.7736 16.4223
I 0.0000 7.3354 16.4223
I 4.2962 0.1058 5.4741
I 2.2398 3.6677 5.4741
I 2.1573 6.2064 12.8591
I 2.1573 6.2064 19.9854
I 6.4535 1.2349 1.9109
I 6.4535 1.2349 9.0373
I 4.2962 4.9715 1.9109
I 4.2962 4.9715 9.0373
I 6.3527 3.6677 5.4741

***

! GGA-PBE Cs3ErI6, optimized geometry; values from VASP
! - DOS at the Fermi energy: 0.00 states/eV/cell
&SYSTEM
  ibrav = 0, nat = 20, ntyp = 3
/
ATOMIC_SPECIES
Cs 132.91 Cs.upf
Er 167.26 Er.upf
I 126.90 I.upf
CELL_PARAMETERS angstrom
8.9993 0.0000 0.0000
0.0000 9.5815 0.0000
-8.7245 0.0000 12.8210
ATOMIC_POSITIONS angstrom
Cs 0.0000 0.0000 0.0000
Cs -4.3622 4.7908 6.4105
Cs -4.5728 0.7288 9.5518
Cs -0.2105 4.0620 3.1413
Cs 0.4854 5.5196 9.6798
Cs 4.8476 8.8527 3.2692
Er 0.1374 0.0000 6.4105
Er 4.4997 4.7908 0.0000
I -2.3210 1.6483 5.7740
I -6.6832 3.1425 12.1845
I -1.3158 7.0598 5.5208
I -5.6781 7.3125 11.9314
I 1.1553 0.4431 3.6003
I -3.2069 4.3477 10.0108
I 3.4818 5.2338 2.8102
I -0.8805 9.1385 9.2208
I 5.9529 2.2690 0.8897
I 1.5907 2.5217 7.3002
I 6.9581 6.4390 0.6366
I 2.5958 7.9332 7.0471

***

Entry from the Alexandria database: a relaxed structure of Cs4ErI7 (GGA-PBE). Values from VASP.

```
&SYSTEM
  ibrav = 0, nat = 12, ntyp = 3
/
ATOMIC_SPECIES
Cs 132.91 Cs.upf
Er 167.26 Er.upf
I 126.90 I.upf
CELL_PARAMETERS angstrom
10.0323 -2.9778 0.0000
10.0323 2.9778 0.0000
-9.3108 0.0000 11.7784
ATOMIC_POSITIONS angstrom
Cs -0.2092 0.0000 3.0374
Cs -3.3810 0.0000 10.1229
Cs 14.1349 0.0000 1.6555
Cs 10.9631 0.0000 8.7410
Er 5.3770 0.0000 5.8892
I -4.6554 0.0000 5.8892
I 2.4677 0.0000 0.1248
I -1.0107 0.0000 7.1198
I 6.5151 0.0000 3.2588
I 4.2389 0.0000 8.5196
I 11.7646 0.0000 4.6586
I 8.2862 0.0000 11.6536
```

***

! GGA-PBE Cs2KErI6, optimized geometry; values from VASP
! - DOS at the Fermi energy: 0.00 states/eV/cell
&SYSTEM
  ibrav = 0, nat = 20, ntyp = 4
/
ATOMIC_SPECIES
Cs 132.91 Cs.upf
K 39.10 K.upf
Er 167.26 Er.upf
I 126.90 I.upf
CELL_PARAMETERS angstrom
8.7341 0.0000 0.0000
0.0000 12.8179 0.0000
0.0000 0.0000 9.5693
ATOMIC_POSITIONS angstrom
Cs 2.1835 0.4374 1.8892
Cs 2.1835 5.9716 1.8892
Cs 6.5506 6.8463 7.6800
Cs 6.5506 12.3805 7.6800
K 2.1835 3.2045 6.8007
K 6.5506 9.6134 2.7686
Er 2.1835 9.6134 7.4964
Er 6.5506 3.2045 2.0728
I 0.0001 3.2045 4.1215
I 8.7340 9.6134 5.4478
I 0.1048 9.6134 0.1289
I 2.1835 6.6009 7.5170
I 2.1835 12.6259 7.5170
I 4.2622 9.6134 0.1289
I 4.3669 3.2045 4.1215
I 4.3672 9.6134 5.4478
I 4.4719 3.2045 9.4404
I 6.5506 0.1920 2.0523
I 6.5506 6.2170 2.0523
I 8.6293 3.2045 9.4404

***

! GGA-PBE CsKEr2I8, optimized geometry; values from VASP
! - DOS at the Fermi energy: 0.00 states/eV/cell
&SYSTEM
  ibrav = 0, nat = 12, ntyp = 4
/
ATOMIC_SPECIES
Cs 132.91 Cs.upf
K 39.10 K.upf
Er 167.26 Er.upf
I 126.90 I.upf
CELL_PARAMETERS angstrom
4.1276 2.3830 11.1865
-4.1276 2.3830 11.1865
0.0000 -4.7661 11.1865
ATOMIC_POSITIONS angstrom
Cs 0.0000 0.0000 0.0000
K 0.0000 0.0000 16.7798
Er 0.0000 0.0000 8.4908
Er 0.0000 0.0000 25.0688
I -2.9972 0.1159 14.7101
I -1.5990 -2.5377 18.8494
I 0.0000 0.0000 11.3235
I 1.3983 -2.6536 14.7101
I -1.3983 2.6536 18.8494
I 0.0000 0.0000 22.2361
I 1.5990 2.5377 14.7101
I 2.9972 -0.1159 18.8494

***

! GGA-PBE Cs3Li2ErI8, optimized geometry; values from VASP
! - DOS at the Fermi energy: 0.00 states/eV/cell
&SYSTEM
  ibrav = 0, nat = 14, ntyp = 4
/
ATOMIC_SPECIES
Cs 132.91 Cs.upf
Li 6.94 Li.upf
Er 167.26 Er.upf
I 126.90 I.upf
CELL_PARAMETERS angstrom
8.4881 0.0000 0.0000
-4.2440 7.3509 0.0000
0.0000 0.0000 10.8744
ATOMIC_POSITIONS angstrom
Cs 0.0000 0.0000 0.0000
Cs 0.0000 4.9006 6.9052
Cs 4.2441 2.4503 3.9692
Li 0.0000 4.9006 2.2584
Li 4.2441 2.4503 8.6160
Er 0.0000 0.0000 5.4372
I 0.0000 2.4047 3.6348
I -2.1616 6.1486 3.6348
I 2.0825 1.2023 7.2395
I 0.0000 4.9006 10.5494
I 4.2441 2.4503 0.3250
I 2.1616 6.1486 3.6348
I 6.4056 1.2023 7.2395
I 4.2440 4.9462 7.2395

***

! GGA-PBE CsLi2ErI6, optimized geometry; values from VASP
! - DOS at the Fermi energy: 0.00 states/eV/cell
&SYSTEM
  ibrav = 0, nat = 10, ntyp = 4
/
ATOMIC_SPECIES
Cs 132.91 Cs.upf
Li 6.94 Li.upf
Er 167.26 Er.upf
I 126.90 I.upf
CELL_PARAMETERS angstrom
7.5339 0.0000 0.0000
3.7669 6.5269 0.0000
3.7610 2.1706 9.3326
ATOMIC_POSITIONS angstrom
Cs 0.0000 0.0000 0.0000
Li 3.7646 2.1751 4.6340
Li 11.2972 6.5225 4.6986
Er 7.5309 4.3488 4.6663
I 6.2635 6.5001 6.3657
I 5.0357 4.3261 2.9640
I 6.3053 2.1740 6.3696
I 8.7565 6.5235 2.9630
I 10.0261 4.3714 6.3686
I 8.7984 2.1974 2.9669

***

! GGA-PBE CsErMgI6, optimized geometry; values from VASP
! - DOS at the Fermi energy: 0.00 states/eV/cell
&SYSTEM
  ibrav = 0, nat = 9, ntyp = 4
/
ATOMIC_SPECIES
Cs 132.91 Cs.upf
Er 167.26 Er.upf
Mg 24.30 Mg.upf
I 126.90 I.upf
CELL_PARAMETERS angstrom
7.7192 0.0000 0.0000
-3.8596 6.6850 0.0000
0.0000 0.0000 8.7957
ATOMIC_POSITIONS angstrom
Cs 0.0000 0.0000 0.0000
Er 0.0000 4.4567 4.3979
Mg 3.8596 2.2283 4.3979
I 2.8579 0.0426 6.1230
I 1.4659 2.4537 2.6728
I 4.8612 0.0426 2.6728
I 2.4675 4.1887 6.1230
I 6.2533 2.4537 6.1230
I 5.2517 4.1887 2.6728

***

! GGA-PBE Cs2NaErI6, optimized geometry; values from VASP
! - DOS at the Fermi energy: 0.00 states/eV/cell
&SYSTEM
  ibrav = 0, nat = 20, ntyp = 4
/
ATOMIC_SPECIES
Cs 132.91 Cs.upf
Na 22.99 Na.upf
Er 167.26 Er.upf
I 126.90 I.upf
CELL_PARAMETERS angstrom
8.7344 0.0000 0.0000
0.0000 12.3528 0.0000
0.0000 0.0000 8.7349
ATOMIC_POSITIONS angstrom
Cs 2.1836 0.0013 2.1759
Cs 2.1836 6.1751 2.1759
Cs 6.5508 12.3515 6.5590
Cs 6.5508 6.1777 6.5590
Na 2.1836 3.0882 6.5337
Na 6.5508 9.2646 2.2012
Er 2.1836 9.2646 6.5675
Er 6.5508 3.0882 2.1674
I 0.0552 9.2646 4.4486
I 0.0639 9.2646 8.6964
I 2.1836 6.2605 6.5636
I 2.1836 12.2686 6.5636
I 4.3033 9.2646 8.6964
I 4.3120 9.2646 4.4486
I 4.4224 3.0882 4.2864
I 4.4311 3.0882 0.0385
I 6.5508 0.0841 2.1713
I 6.5508 6.0923 2.1713
I 8.6705 3.0882 0.0385
I 8.6792 3.0882 4.2864

***

Uncorrected formation energy
In order: -1.67, -1.72, -1.38, -1.32, -1.37, -1.38, -1.06, -1.49, -1.34, -1.49, -1.51, -1.29, -1.48, -1.35, -1.37, -1.35, -1.31, -1.44
Unit: eV/atom